No. 1
# Dy3Ga3Os | Alexandria via LeMat-Bulk | PBE | relaxed
data_Dy3Ga3Os
_space_group_name_H-M_alt 'P 1'
_space_group_IT_number 1
_cell_length_a 5.868
_cell_length_b 5.868
_cell_length_c 14.304
_cell_angle_alpha 108.01
_cell_angle_beta 108.01
_cell_angle_gamma 41.65
loop_
_space_group_symop_operation_xyz
'x,y,z'
loop_
_atom_site_label
_atom_site_fract_x
_atom_site_fract_y
_atom_site_fract_z
Dy1 0.029 0.029 0.382
Dy2 0.110 0.110 0.922
Dy3 0.241 0.241 0.240
Dy4 0.759 0.759 0.760
Dy5 0.890 0.890 0.078
Dy6 0.971 0.971 0.618
Ga1 0.363 0.363 0.462
Ga2 0.392 0.392 0.925
Ga3 0.467 0.467 0.768
Ga4 0.533 0.533 0.232
Ga5 0.608 0.608 0.075
Ga6 0.637 0.637 0.538
Os1 0.263 0.263 0.605
Os2 0.737 0.737 0.395
# E_form   -0.53 eV/atom
# Total DFT energy (no corrections)   -75.68 eV for the cell shown
# Spin magnetization   0.000 μB/atom

=====

No. 2
# Dy2Ga8Os | Alexandria via LeMat-Bulk | PBE | relaxed
data_Dy2Ga8Os
_space_group_name_H-M_alt 'P 1'
_space_group_IT_number 1
_cell_length_a 4.302
_cell_length_b 4.302
_cell_length_c 11.243
_cell_angle_alpha 90.00
_cell_angle_beta 90.00
_cell_angle_gamma 90.00
loop_
_space_group_symop_operation_xyz
'x,y,z'
loop_
_atom_site_label
_atom_site_fract_x
_atom_site_fract_y
_atom_site_fract_z
Dy1 0.000 0.000 0.193
Dy2 0.000 0.000 0.807
Ga1 0.000 0.500 0.000
Ga2 0.000 0.500 0.378
Ga3 0.000 0.500 0.622
Ga4 0.500 0.000 0.000
Ga5 0.500 0.000 0.378
Ga6 0.500 0.000 0.622
Ga7 0.500 0.500 0.191
Ga8 0.500 0.500 0.809
Os1 0.000 0.000 0.500
# E_form   -0.45 eV/atom
# Total DFT energy (no corrections)   -49.55 eV for the cell shown
# Spin magnetization   0.000 μB/atom

=====

No. 3
# Dy7Ga2Os2 | Alexandria via LeMat-Bulk | PBE | relaxed
data_Dy7Ga2Os2
_space_group_name_H-M_alt 'P 1'
_space_group_IT_number 1
_cell_length_a 6.673
_cell_length_b 6.673
_cell_length_c 6.995
_cell_angle_alpha 90.00
_cell_angle_beta 90.00
_cell_angle_gamma 107.97
loop_
_space_group_symop_operation_xyz
'x,y,z'
loop_
_atom_site_label
_atom_site_fract_x
_atom_site_fract_y
_atom_site_fract_z
Dy1 0.000 0.000 0.000
Dy2 0.000 0.500 0.260
Dy3 0.000 0.500 0.740
Dy4 0.500 0.000 0.260
Dy5 0.500 0.000 0.740
Dy6 0.500 0.500 0.253
Dy7 0.500 0.500 0.747
Ga1 0.166 0.166 0.500
Ga2 0.834 0.834 0.500
Os1 0.297 0.703 0.000
Os2 0.703 0.297 0.000
# E_form   -0.22 eV/atom
# Total DFT energy (no corrections)   -63.16 eV for the cell shown
# Spin magnetization   0.000 μB/atom

=====

No. 4
# Dy2GaOs | Alexandria via LeMat-Bulk | PBE | relaxed
data_Dy2GaOs
_space_group_name_H-M_alt 'P 1'
_space_group_IT_number 1
_cell_length_a 10.348
_cell_length_b 10.348
_cell_length_c 10.348
_cell_angle_alpha 18.94
_cell_angle_beta 18.94
_cell_angle_gamma 18.94
loop_
_space_group_symop_operation_xyz
'x,y,z'
loop_
_atom_site_label
_atom_site_fract_x
_atom_site_fract_y
_atom_site_fract_z
Dy1 0.100 0.100 0.100
Dy2 0.900 0.900 0.900
Ga1 0.000 0.000 0.000
Os1 0.500 0.500 0.500
# E_form   0.24 eV/atom
# Total DFT energy (no corrections)   -22.51 eV for the cell shown
# Spin magnetization   0.000 μB/atom

=====

No. 5
# Dy4Ga12Os | Alexandria via LeMat-Bulk | PBE | relaxed
data_Dy4Ga12Os
_space_group_name_H-M_alt 'P 1'
_space_group_IT_number 1
_cell_length_a 7.463
_cell_length_b 7.463
_cell_length_c 7.463
_cell_angle_alpha 109.47
_cell_angle_beta 109.47
_cell_angle_gamma 109.47
loop_
_space_group_symop_operation_xyz
'x,y,z'
loop_
_atom_site_label
_atom_site_fract_x
_atom_site_fract_y
_atom_site_fract_z
Dy1 0.000 0.000 0.500
Dy2 0.000 0.500 0.000
Dy3 0.500 0.000 0.000
Dy4 0.500 0.500 0.500
Ga1 0.000 0.292 0.292
Ga2 0.000 0.708 0.708
Ga3 0.250 0.500 0.750
Ga4 0.250 0.750 0.500
Ga5 0.292 0.000 0.292
Ga6 0.292 0.292 0.000
Ga7 0.500 0.250 0.750
Ga8 0.500 0.750 0.250
Ga9 0.708 0.000 0.708
Ga10 0.708 0.708 0.000
Ga11 0.750 0.250 0.500
Ga12 0.750 0.500 0.250
Os1 0.000 0.000 0.000
# E_form   -0.54 eV/atom
# Total DFT energy (no corrections)   -75.12 eV for the cell shown
# Spin magnetization   0.000 μB/atom

=====

No. 6
# Dy2Ga2Os | Alexandria via LeMat-Bulk | PBE | relaxed
data_Dy2Ga2Os
_space_group_name_H-M_alt 'P 1'
_space_group_IT_number 1
_cell_length_a 5.836
_cell_length_b 5.836
_cell_length_c 10.505
_cell_angle_alpha 114.71
_cell_angle_beta 114.71
_cell_angle_gamma 41.90
loop_
_space_group_symop_operation_xyz
'x,y,z'
loop_
_atom_site_label
_atom_site_fract_x
_atom_site_fract_y
_atom_site_fract_z
Dy1 0.007 0.007 0.331
Dy2 0.192 0.192 0.122
Dy3 0.808 0.808 0.878
Dy4 0.993 0.993 0.669
Ga1 0.354 0.354 0.444
Ga2 0.483 0.483 0.114
Ga3 0.517 0.517 0.886
Ga4 0.646 0.646 0.556
Os1 0.284 0.284 0.653
Os2 0.716 0.716 0.347
# E_form   -0.50 eV/atom
# Total DFT energy (no corrections)   -57.95 eV for the cell shown
# Spin magnetization   0.000 μB/atom

=====

| no. | DOS at the Fermi energy (states/eV per cell) |
| --- | --- |
| 1 | 9.899 |
| 2 | 4.204 |
| 3 | 6.680 |
| 4 | 4.877 |
| 5 | 11.916 |
| 6 | 8.165 |